Compound: Li6In10Ni
Source: the Alexandria database
Functional: PBE
Structure: optimized geometry

The space group is P-31m (No. 162) and the conventional cell measures 8.3350, 8.3350 and 6.0366 Å, with angles of 90.00, 90.00 and 120.00 degrees. The distinct sites, in fractional coordinates, are Li at (0.0000, 0.3916, 0.2717), In at (0.0000, 0.2517, 0.7680), In at (0.3333, 0.6667, 0.0000), In at (0.3333, 0.6667, 0.5000) and Ni at (0.0000, 0.0000, 0.5000).

For the formation energy from the elements, the calculation gives -148 meV per atom. The crystal system is trigonal. As for the density of states at the Fermi level: 7.4 states/eV per cell.

Compound: NpRhS2
Source: the Alexandria database
Functional: PBE
Structure: optimized geometry

The space group is Pnma (No. 62) and the conventional cell measures 6.105, 3.740 and 12.468 Å, with angles of 90.00, 90.00 and 90.00 degrees. The distinct sites, in fractional coordinates, are Np at (0.103, 0.250, 0.142), Rh at (0.112, 0.750, 0.403), S at (0.141, 0.250, 0.750) and S at (0.240, 0.750, 0.998).

The calculation puts the offset from the most stable computed form at 0.0 meV/atom. The crystal system is orthorhombic. As for the density of states at the Fermi level: 35.6 states/eV per cell. Its uncorrected formation energy is -0.913 eV/atom.